EuZnGaHg (GGA-PBE, optimized geometry); formation enthalpy at 0 K = -0.28 eV/atom; space group = No. 216; calculated total energy = -16.0 eV/cell
1.0
-0.1148 -4.9444 0.9800
1.9486 -3.2709 -3.3052
4.2666 -2.4523 1.0967
Zn Ga Hg Eu
1 1 1 1
direct
0.5000 0.5000 0.5000 Zn
0.2500 0.2500 0.2500 Ga
0.0000 0.0000 0.0000 Hg
0.7500 0.7500 0.7500 Eu